(1)
An optimized crystal structure of Na2BeTl2. Source: the Alexandria database, functional PBE.

a = 6.939 Å, b = 6.939 Å, c = 5.369 Å
α = 90.00°, β = 90.00°, γ = 90.00°
Positions (direct):
Na1 0.167 0.333 0.000
Na2 0.333 0.833 0.000
Na3 0.667 0.167 0.000
Na4 0.833 0.667 0.000
Be1 0.000 0.000 0.500
Be2 0.500 0.500 0.500
Tl1 0.169 0.669 0.500
Tl2 0.331 0.169 0.500
Tl3 0.669 0.831 0.500
Tl4 0.831 0.331 0.500

Output
The value obtained for the size of the total moment is 0.0 μB per formula unit. The raw total energy is -1.999 eV per atom. The calculated volume is 25.85 A^3/atom. The calculation puts the calculated formation energy at 221 meV/atom.

=====

(2)
An optimized crystal structure of Ni2MoPd. Source: the Alexandria database, functional PBE.

a = 2.690 Å, b = 2.690 Å, c = 7.333 Å
α = 90.00°, β = 90.00°, γ = 90.00°
Positions (direct):
Ni1 0.000 0.000 0.244
Ni2 0.000 0.000 0.756
Mo1 0.500 0.500 0.000
Pd1 0.500 0.500 0.500

Output
Its energy above the most stable polymorph in this dataset is 0.0023 eV/atom. The value obtained for the size of the total moment is 0.0 μB per formula unit. The raw total energy is -6.915 eV per atom. The calculated volume is 13.26 A^3/atom. The calculation puts the calculated formation energy at -18 meV/atom.

=====

(3)
An optimized crystal structure of V2TcNiH. Source: the Alexandria database, functional PBE.

a = 3.979 Å, b = 3.979 Å, c = 3.399 Å
α = 90.00°, β = 90.00°, γ = 90.00°
Positions (direct):
V1 0.000 0.500 0.000
V2 0.500 0.000 0.000
Tc1 0.000 0.000 0.500
Ni1 0.500 0.500 0.500
H1 0.500 0.500 0.000

Output
Its energy above the most stable polymorph in this dataset is 0.0000 eV/atom. The value obtained for the size of the total moment is 0.0 μB per formula unit. The raw total energy is -7.714 eV per atom. The calculated volume is 10.76 A^3/atom.

=====

(4)
An optimized crystal structure of Al3TePt. Source: the Alexandria database, functional PBE.

a = 4.849 Å, b = 4.849 Å, c = 4.849 Å
α = 90.00°, β = 90.00°, γ = 90.00°
Positions (direct):
Al1 0.000 0.000 0.500
Al2 0.000 0.500 0.000
Al3 0.500 0.000 0.000
Te1 0.500 0.500 0.500
Pt1 0.000 0.000 0.000

Output
Its uncorrected formation energy is -0.335 eV per atom. Its energy above the most stable polymorph in this dataset is 0.0000 eV/atom. The value obtained for the size of the total moment is 0.0 μB per formula unit. The raw total energy is -4.417 eV per atom. The calculated volume is 22.80 A^3/atom.

=====

(5)
An optimized crystal structure of Zr2H. Source: the Alexandria database, functional PBE.

a = 6.108 Å, b = 5.803 Å, c = 6.107 Å
α = 90.00°, β = 117.95°, γ = 90.00°
Positions (direct):
Zr1 0.131 0.138 0.369
Zr2 0.131 0.362 0.869
Zr3 0.369 0.638 0.631
Zr4 0.369 0.862 0.131
Zr5 0.631 0.138 0.869
Zr6 0.631 0.362 0.369
Zr7 0.869 0.638 0.131
Zr8 0.869 0.862 0.631
H1 0.250 0.001 0.750
H2 0.250 0.499 0.250
H3 0.750 0.501 0.750
H4 0.750 0.999 0.250

Output
The value obtained for the size of the total moment is 0.0 μB per formula unit. The raw total energy is -6.995 eV per atom. The calculated volume is 15.93 A^3/atom.

=====

(6)
An optimized crystal structure of CaAgIr. Source: the Alexandria database, functional PBE.

a = 5.763 Å, b = 5.763 Å, c = 4.839 Å
α = 113.37°, β = 113.37°, γ = 58.70°
Positions (direct):
Ca1 0.128 0.128 0.380
Ca2 0.872 0.872 0.620
Ag1 0.000 0.500 0.000
Ag2 0.500 0.000 0.000
Ir1 0.459 0.459 0.712
Ir2 0.541 0.541 0.288

Output
Its energy above the most stable polymorph in this dataset is 0.0000 eV/atom. The value obtained for the size of the total moment is 0.0 μB per formula unit. The raw total energy is -4.619 eV per atom. The calculated volume is 20.38 A^3/atom. The calculation puts the calculated formation energy at -48 meV/atom.

=====

(7)
An optimized crystal structure of TbPm2Y9. Source: the Alexandria database, functional PBE.

a = 5.069 Å, b = 5.069 Å, c = 15.199 Å
α = 90.00°, β = 90.00°, γ = 90.00°
Positions (direct):
Tb1 0.000 0.000 0.000
Pm1 0.000 0.000 0.333
Pm2 0.000 0.000 0.667
Y1 0.000 0.500 0.165
Y2 0.000 0.500 0.500
Y3 0.000 0.500 0.835
Y4 0.500 0.000 0.165
Y5 0.500 0.000 0.500
Y6 0.500 0.000 0.835
Y7 0.500 0.500 0.000
Y8 0.500 0.500 0.333
Y9 0.500 0.500 0.667

Output
The value obtained for the size of the total moment is 0.0 μB per formula unit. The raw total energy is -6.003 eV per atom. The calculated volume is 32.55 A^3/atom. The calculation puts the calculated formation energy at 23 meV/atom.

=====

(8)
An optimized crystal structure of Tb6CeEr5. Source: the Alexandria database, functional PBE.

a = 9.357 Å, b = 9.357 Å, c = 9.357 Å
α = 149.00°, β = 115.42°, γ = 73.36°
Positions (direct):
Tb1 0.084 0.335 0.750
Tb2 0.249 0.000 0.249
Tb3 0.415 0.665 0.750
Tb4 0.585 0.335 0.250
Tb5 0.751 0.000 0.751
Tb6 0.916 0.665 0.250
Ce1 0.000 0.500 0.500
Er1 0.167 0.167 0.000
Er2 0.333 0.833 0.500
Er3 0.500 0.500 0.000
Er4 0.667 0.167 0.500
Er5 0.833 0.833 0.000

Output
The value obtained for the size of the total moment is 1.1 μB per formula unit. The raw total energy is -4.674 eV per atom. The calculated volume is 31.27 A^3/atom. The calculation puts the calculated formation energy at 37 meV/atom.